First-principles (GGA-PBE) data for an optimized crystal structure of ZrTi2Bi, as listed in Alexandria via LeMat-Bulk.

Calculated values
- Symmetry: P4/mmm
- Calculated formation energy: -115 meV per atom

extended XYZ file:
```
4
Lattice="4.540 0.000 0.000 0.000 4.540 0.000 0.000 0.000 3.896" Properties=species:S:1:pos:R:3 pbc="T T T"
Zr 0.000 0.000 0.000
Ti 0.000 2.270 1.948
Ti 2.270 0.000 1.948
Bi 2.270 2.270 0.000
```